No. 1
This record from Alexandria via LeMat-Bulk describes a relaxed Tb2Dy2Th crystal. The functional is PBE.

## Properties
SG   Cmc2_1
ρ   9.12 g/cm³
Volume   318.6 Å³/cell
Formation energy from the elements   0.32 eV per formula unit

```
Tb2Dy2Th
1.0
-1.737 -5.118 -0.518
6.609 -2.184 -0.591
1.289 1.574 8.590
Dy Tb Th
4 4 2
direct
0.801 0.326 0.602
0.000 0.827 0.999
0.000 0.327 0.001
0.199 0.826 0.398
0.606 0.077 0.212
0.394 0.577 0.788
0.200 0.327 0.400
0.800 0.827 0.600
0.391 0.077 0.783
0.609 0.577 0.217
```

No. 2
This record from Alexandria via LeMat-Bulk describes a relaxed Hf6ZnS crystal. The functional is PBE.

## Properties
SG   P-1
ρ   11.07 g/cm³
Volume   175.2 Å³/cell
Energy relative to the elements, uncorrected   -125 meV per atom

```
Hf6ZnS
1.0
5.988 0.475 -0.450
3.390 5.670 -0.539
2.705 1.699 5.137
Hf Zn S
6 1 1
direct
0.914 0.623 0.248
0.767 0.003 0.738
0.538 0.217 0.269
0.086 0.377 0.752
0.462 0.783 0.731
0.233 0.997 0.262
0.500 0.500 0.500
0.000 0.000 0.000
```

No. 3
This record from Alexandria via LeMat-Bulk describes a relaxed Sr2YSc crystal. The functional is PBE.

## Properties
SG   R-3m
ρ   3.38 g/cm³
Volume   151.7 Å³/cell
Formation energy from the elements   1.35 eV per formula unit

```
Sr2YSc
1.0
12.560 -0.007 -0.004
11.998 3.715 -0.004
11.998 1.812 3.243
Y Sr Sc
1 2 1
direct
0.250 0.250 0.250
0.497 0.497 0.497
0.003 0.003 0.003
0.750 0.750 0.750
```

No. 4
This record from Alexandria via LeMat-Bulk describes a relaxed ScRhF3 crystal. The functional is PBE.

## Properties
SG   Pm-3m
ρ   4.74 g/cm³
Volume   71.7 Å³/cell
Energy relative to the elements, uncorrected   -2116 meV per atom

```
ScRhF3
1.0
-2.288 2.553 -2.348
1.779 -1.551 -3.419
-2.977 -2.888 -0.239
F Sc Rh
3 1 1
direct
0.000 0.500 0.000
0.000 0.000 0.500
0.500 0.000 0.000
0.000 0.000 0.000
0.500 0.500 0.500
```

No. 5
This record from Alexandria via LeMat-Bulk describes a relaxed Pu3Tc crystal. The functional is PBE.

## Properties
SG   P4/mmm
ρ   15.09 g/cm³
Volume   91.3 Å³/cell
Formation energy from the elements   0.66 eV per formula unit

```
Pu3Tc
1.0
-0.016 -0.594 -3.347
-2.280 -2.481 0.452
-5.863 5.225 -0.899
Pu Tc
3 1
direct
0.500 0.500 0.789
0.000 0.000 0.500
0.500 0.500 0.211
0.000 0.000 0.000
```

No. 6
This record from Alexandria via LeMat-Bulk describes a relaxed Li2PmBiS4 crystal. The functional is PBE.

## Properties
SG   Imma
ρ   4.68 g/cm³
Volume   351.7 Å³/cell
Energy relative to the elements, uncorrected   -1264 meV per atom

```
Li2PmBiS4
1.0
-3.768 6.936 -0.712
-6.915 -3.636 1.330
6.005 -0.786 5.183
Li Bi Pm S
4 2 2 8
direct
0.500 0.000 0.000
0.500 0.000 0.500
0.000 0.000 0.500
0.500 0.500 0.000
0.000 0.000 0.000
0.500 0.500 0.500
0.000 0.500 0.500
0.000 0.500 0.000
0.745 0.249 0.997
0.251 0.755 0.503
0.255 0.751 0.003
0.252 0.248 0.994
0.749 0.245 0.497
0.748 0.752 0.006
0.748 0.752 0.494
0.252 0.248 0.506
```

No. 7
This record from Alexandria via LeMat-Bulk describes a relaxed Ho6Rh5 crystal. The functional is PBE.

## Properties
SG   P2/m
ρ   10.57 g/cm³
Volume   236.2 Å³/cell
Formation energy from the elements   -9.06 eV per formula unit

```
Ho6Rh5
1.0
-2.786 -3.884 0.320
5.108 -3.862 -2.408
0.929 -3.067 6.890
Ho Rh
6 5
direct
0.834 0.750 0.333
0.500 0.251 0.000
0.166 0.250 0.667
0.166 0.750 0.667
0.834 0.250 0.333
0.500 0.749 0.000
0.333 0.000 0.334
0.000 0.500 0.000
0.669 0.500 0.662
0.331 0.500 0.338
0.667 0.000 0.666
```

No. 8
This record from Alexandria via LeMat-Bulk describes a relaxed Ac2Nd2Tm crystal. The functional is PBE.

## Properties
SG   I4/mmm
ρ   7.41 g/cm³
Volume   204.2 Å³/cell
Formation energy from the elements   2.37 eV per formula unit

```
Ac2Nd2Tm
1.0
4.932 0.000 0.000
0.000 4.932 0.000
-2.466 -2.466 8.395
Nd Tm Ac
2 1 2
direct
0.590 0.590 0.181
0.410 0.410 0.819
0.000 0.000 0.000
0.750 0.250 0.500
0.250 0.750 0.500
```

No. 9
This record from Alexandria via LeMat-Bulk describes a relaxed Li2TlMo crystal. The functional is PBE.

## Properties
SG   R-3m
ρ   6.98 g/cm³
Volume   74.8 Å³/cell
Formation energy from the elements   1.81 eV per formula unit

```
Li2TlMo
1.0
-8.731 -1.059 -4.864
-7.113 -2.943 -6.461
-8.396 -3.850 -3.961
Li Tl Mo
2 1 1
direct
0.996 0.996 0.996
0.504 0.504 0.504
0.750 0.750 0.750
0.250 0.250 0.250
```

No. 10
This record from Alexandria via LeMat-Bulk describes a relaxed PaCd2Cu crystal. The functional is PBE.

## Properties
SG   P4/mmm
ρ   10.72 g/cm³
Volume   80.5 Å³/cell
Formation energy from the elements   0.37 eV per formula unit

```
PaCd2Cu
1.0
-0.475 -2.209 -2.049
1.600 -1.943 1.723
-7.239 -2.286 4.144
Cu Cd Pa
1 2 1
direct
0.500 0.500 0.000
0.000 0.000 0.796
0.000 0.000 0.204
0.500 0.500 0.500
```

Question: ρ of number 2 (Hf6ZnS)?
Answer: 11.07 g/cm³

Question: What is the ρ in the seventh record?
Answer: 10.57 g/cm³

Question: Among the records above, which one has the highest volume?
Answer: Li2PmBiS4